No. 1
Y3MgRu (PBE, optimized geometry); distance to the lowest polymorph of the same formula = 150 meV per atom; magnetic moment = 0.00 μB/f.u.; space group = Pm-3m; E = -6.14 eV/atom
1.0
5.3691 0.0000 0.0000
0.0000 5.3691 0.0000
0.0000 0.0000 5.3691
Y Mg Ru
3 1 1
Cartesian
0.0000 0.0000 2.6845
0.0000 2.6845 0.0000
2.6845 0.0000 0.0000
2.6845 2.6845 2.6845
0.0000 0.0000 0.0000

No. 2
Th2FeTc (PBE, optimized geometry); magnetic moment = 1.05 μB/f.u.; space group = P4/mmm; E = -8.36 eV/atom
1.0
3.5193 0.0000 0.0000
0.0000 3.5193 0.0000
0.0000 0.0000 7.1001
Th Fe Tc
2 1 1
Cartesian
0.0000 0.0000 1.7474
0.0000 0.0000 5.3527
1.7596 1.7596 0.0000
1.7596 1.7596 3.5500

Q: Look up the magnetic moment of the second one.
A: 1.05 μB/f.u.

Copy entry 1 word for word.
Y3MgRu (PBE, optimized geometry); distance to the lowest polymorph of the same formula = 150 meV per atom; magnetic moment = 0.00 μB/f.u.; space group = Pm-3m; E = -6.14 eV/atom
1.0
5.3691 0.0000 0.0000
0.0000 5.3691 0.0000
0.0000 0.0000 5.3691
Y Mg Ru
3 1 1
Cartesian
0.0000 0.0000 2.6845
0.0000 2.6845 0.0000
2.6845 0.0000 0.0000
2.6845 2.6845 2.6845
0.0000 0.0000 0.0000